No. 1
Here is an optimized crystal structure of Tl3In3Hg10 from the Alexandria database. Energies are from PBE-GGA.

Lattice parameters (Å, degrees): 6.1080 9.0170 9.1980 67.02 83.55 75.63
Last column: nearest neighbours and their distance in Å.
Space group P1 (No. 1)
Asymmetric unit:
Tl (0.0000, 0.0000, 0.0000)  8 Hg 3.20-3.54, 2 In 3.53-3.55
Tl (0.0672, 0.2451, 0.2407)  8 Hg 3.19-3.48
Tl (0.9199, 0.5025, 0.4893)  5 Hg 3.17-3.24, 1 In 3.40
In (0.3989, 0.5819, 0.2760)  5 Hg 3.10-3.30, 1 Tl 3.40
In (0.4262, 0.8340, 0.5357)  8 Hg 3.12-3.39
In (0.5075, 0.0734, 0.7891)  7 Hg 3.12-3.43
Hg (0.0015, 0.3882, 0.8631)  3 Hg 3.06-3.15, 3 Tl 3.23-3.24
Hg (0.0337, 0.1105, 0.6240)  3 Tl 3.17-3.25, 2 Hg 3.20-3.45, 3 In 3.29-3.43
Hg (0.3823, 0.6969, 0.9075)  4 Hg 3.11-3.44, 3 In 3.14-3.39, 1 Tl 3.44
Hg (0.4396, 0.4569, 0.6623)  3 In 3.12-3.30, 2 Hg 3.13-3.25, 1 Tl 3.22
Hg (0.4878, 0.9409, 0.1683)  3 In 3.14-3.21, 3 Hg 3.19-3.38, 3 Tl 3.34-3.48
Hg (0.5431, 0.3140, 0.0366)  5 Hg 3.11-3.25, 1 Tl 3.33
Hg (0.5502, 0.1998, 0.4173)  3 In 3.10-3.30, 3 Hg 3.24-3.45, 2 Tl 3.39-3.43
Hg (0.8815, 0.6366, 0.1091)  3 Hg 3.11-3.44, 3 Tl 3.19-3.27, 1 In 3.23
Hg (0.8830, 0.7663, 0.7419)  6 Hg 3.06-3.37, 2 In 3.27-3.35
Hg (0.9451, 0.8808, 0.3776)  3 Hg 3.11-3.38, 3 Tl 3.19-3.27, 2 In 3.29-3.39

## Properties
formation energy from the elements	4	meV per atom

No. 2
Here is an optimized crystal structure of Y2Ga3Ni12Pd from the Alexandria database. Energies are from PBE-GGA.

Lattice parameters (Å, degrees): 8.5397 8.5397 12.0258 90.00 90.00 120.00
Last column: nearest neighbours and their distance in Å.
Space group R-3m (No. 166, hexagonal axes)
Asymmetric unit:
Y (0.0000, 0.0000, 0.1876)  9 Ni 2.60-2.80
Ga (0.0000, 0.5000, 0.0000)  6 Ni 2.43-2.64
Ni (0.0067, 0.5033, 0.2022)  5 Ni 2.32-2.57, 1 Ga 2.43, 1 Pd 2.45
Ni (0.0187, 0.5093, 0.6058)  4 Ni 2.32-2.57
Pd (0.0000, 0.0000, 0.5000)  6 Ni 2.45

## Properties
formation energy from the elements	-89	meV per atom

No. 3
Here is an optimized crystal structure of BeBiI2 from the Alexandria database. Energies are from PBE-GGA.

Lattice parameters (Å, degrees): 7.7479 7.7479 7.7479 90.00 90.00 90.00
Last column: nearest neighbours and their distance in Å.
Space group Fm-3m (No. 225)
Asymmetric unit:
Be (0.0000, 0.0000, 0.0000)  8 I 3.35
Bi (0.0000, 0.0000, 0.5000)  8 I 3.35
I (0.2500, 0.2500, 0.2500)  4 Bi 3.35, 4 Be 3.35

## Properties
ΔE to the lowest computed polymorph	355.6	meV/atom
energy relative to the elements, uncorrected	0.709	eV/atom

No. 4
Here is an optimized crystal structure of CeThCu3 from the Alexandria database. Energies are from PBE-GGA.

Lattice parameters (Å, degrees): 3.5045 26.8257 4.3531 90.00 90.00 90.00
Last column: nearest neighbours and their distance in Å.
Space group Cmcm (No. 63)
Asymmetric unit:
Ce (0.0000, 0.2076, 0.2500)  7 Cu 2.97-3.33
Th (0.0000, 0.0714, 0.7500)  12 Cu 3.06-3.14
Cu (0.0000, 0.3316, 0.2500)  2 Cu 2.56
Cu (0.0000, 0.3819, 0.7500)  3 Cu 2.54-2.56
Cu (0.0000, 0.4765, 0.7500)  3 Cu 2.52-2.54

## Properties
formation energy from the elements	-138	meV per atom

No. 5
Here is an optimized crystal structure of K2TaSi from the Alexandria database. Energies are from PBE-GGA.

Lattice parameters (Å, degrees): 5.5816 11.9455 2.9992 90.00 90.00 90.00
Last column: nearest neighbours and their distance in Å.
Space group Cmmm (No. 65)
Asymmetric unit:
K (0.2500, 0.2500, 0.0000)  4 K 2.79-3.00
Ta (0.0000, 0.0000, 0.5000)  2 Si 2.79, 2 Ta 3.00
Si (0.0000, 0.5000, 0.5000)  2 Ta 2.79, 2 Si 3.00

## Properties
energy relative to the elements, uncorrected	1.052	eV/atom

No. 6
Here is an optimized crystal structure of Be2NiIr from the Alexandria database. Energies are from PBE-GGA.

Lattice parameters (Å, degrees): 2.7957 3.7094 7.9954 90.00 90.00 90.00
Last column: nearest neighbours and their distance in Å.
Space group Imm2 (No. 44)
Asymmetric unit:
Be (0.0000, 0.0000, 0.0000)  4 Ni 2.33, 2 Be 2.38, 2 Ir 2.47
Be (0.0000, 0.5000, 0.2588)  4 Ir 2.32, 2 Ni 2.37, 2 Be 2.38
Ni (0.0000, 0.0000, 0.5195)  6 Be 2.33-2.37, 2 Ir 2.54
Ir (0.0000, 0.5000, 0.7545)  6 Be 2.32-2.47, 2 Ni 2.54

## Properties
formation energy from the elements	-361	meV per atom
ΔE to the lowest computed polymorph	215.4	meV/atom

No. 7
Here is an optimized crystal structure of LaMgIn2 from the Alexandria database. Energies are from PBE-GGA.

Lattice parameters (Å, degrees): 3.6803 3.6803 7.8567 90.00 90.00 90.00
Last column: nearest neighbours and their distance in Å.
Space group P4/mmm (No. 123)
Asymmetric unit:
La (0.0000, 0.0000, 0.0000)  8 In 3.43, 4 La 3.68
Mg (0.0000, 0.0000, 0.5000)  8 In 3.10
In (0.5000, 0.5000, 0.2852)  4 Mg 3.10, 1 In 3.38, 4 La 3.43

## Properties
formation energy from the elements	-336	meV per atom

No. 8
Here is an optimized crystal structure of Sr2TlHg from the Alexandria database. Energies are from PBE-GGA.

Lattice parameters (Å, degrees): 4.5833 4.5833 7.0780 90.00 90.00 90.00
Last column: nearest neighbours and their distance in Å.
Space group P4mm (No. 99)
Asymmetric unit:
Sr (0.0000, 0.0000, 0.0000)  1 Tl 3.32, 4 Hg 3.40
Sr (0.5000, 0.5000, 0.3797)  2 Hg 3.37-3.71, 4 Tl 3.41
Tl (0.0000, 0.0000, 0.5304)  5 Sr 3.32-3.41
Hg (0.5000, 0.5000, 0.8554)  6 Sr 3.37-3.71

## Properties
formation energy from the elements	-320	meV per atom

No. 9
Here is an optimized crystal structure of Ag2RhF4 from the Alexandria database. Energies are from PBE-GGA.

Lattice parameters (Å, degrees): 10.6003 3.0619 6.9647 90.00 99.82 90.00
Last column: nearest neighbours and their distance in Å.
Space group C2/m (No. 12)
Asymmetric unit:
Ag (0.1613, 0.0000, 0.0731)  2 F 2.45
Rh (0.0000, 0.5000, 0.5000)  6 F 2.02
F (0.0239, 0.5000, 0.2188)  1 Rh 2.02
F (0.1262, 0.0000, 0.5527)  2 Rh 2.02

## Properties
energy relative to the elements, uncorrected	-1.079	eV/atom

No. 10
Here is an optimized crystal structure of TbNd3S4 from the Alexandria database. Energies are from PBE-GGA.

Lattice parameters (Å, degrees): 7.0265 8.0109 6.9979 90.00 109.38 90.00
Last column: nearest neighbours and their distance in Å.
Space group P2/c (No. 13)
Asymmetric unit:
Tb (0.0000, 0.1261, 0.2500)  6 S 2.79-2.81
Nd (0.0000, 0.3758, 0.7500)  6 S 2.84-2.86
Nd (0.5000, 0.1260, 0.7500)  6 S 2.84-2.92
Nd (0.5000, 0.3764, 0.2500)  6 S 2.86-2.91
S (0.2409, 0.1203, 0.0002)  2 Tb 2.80-2.81, 4 Nd 2.85-2.92
S (0.2452, 0.3700, 0.4952)  1 Tb 2.79, 5 Nd 2.84-2.90

## Properties
ΔE to the lowest computed polymorph	0.0	meV/atom
energy relative to the elements, uncorrected	-2.022	eV/atom

No. 11
Here is an optimized crystal structure of CeHoPd2 from the Alexandria database. Energies are from PBE-GGA.

Lattice parameters (Å, degrees): 3.4517 3.4517 7.3828 90.00 90.00 90.00
Last column: nearest neighbours and their distance in Å.
Space group P4/mmm (No. 123)
Asymmetric unit:
Ce (0.0000, 0.0000, 0.0000)  8 Pd 3.15, 4 Ce 3.45
Ho (0.0000, 0.0000, 0.5000)  8 Pd 2.98
Pd (0.5000, 0.5000, 0.2687)  4 Ho 2.98, 4 Ce 3.15

## Properties
formation energy from the elements	-756	meV per atom

No. 12
Here is an optimized crystal structure of EuB from the Alexandria database. Energies are from PBE-GGA.

Lattice parameters (Å, degrees): 3.7793 14.0050 3.1884 90.00 90.00 90.00
Last column: nearest neighbours and their distance in Å.
Space group Cmcm (No. 63)
Asymmetric unit:
Eu (0.0000, 0.1272, 0.2500)  6 B 2.74-2.94
B (0.0000, 0.4860, 0.2500)  2 B 1.64

## Properties
formation energy from the elements	-178	meV per atom

Number 1: calculated density 10.89 Mg/m³, V 451.7 Å³ per cell. Number 2: calculated density 7.86 Mg/m³, V 759.5 Å³ per cell. Number 3: calculated density 6.74 Mg/m³, V 465.1 Å³ per cell. Number 4: calculated density 9.13 Mg/m³, V 409.2 Å³ per cell. Number 5: calculated density 4.77 Mg/m³, V 200.0 Å³ per cell. Number 6: calculated density 10.77 Mg/m³, V 82.9 Å³ per cell. Number 7: calculated density 6.13 Mg/m³, V 106.4 Å³ per cell. Number 8: calculated density 6.48 Mg/m³, V 148.7 Å³ per cell. Number 9: calculated density 5.88 Mg/m³, V 222.7 Å³ per cell. Number 10: calculated density 6.43 Mg/m³, V 371.6 Å³ per cell. Number 11: calculated density 9.78 Mg/m³, V 88.0 Å³ per cell. Number 12: calculated density 6.41 Mg/m³, V 168.8 Å³ per cell.